[1]
The following is a PBE-GGA calculation of a relaxed structure of BaAgSb, from the Alexandria database.

For the energy relative to the elements, uncorrected, the calculation gives -190 kJ/mol of formula units. The magnetic moment is 0.00 μB per formula unit. The calculation puts the density of states at the Fermi level at 0.0052 states/eV/atom.

The structure belongs to space group Immm (No. 71); the cell edges are 4.8691, 8.6281 and 9.3952 Å and the angles 90.00°, 90.00° and 90.00°. The asymmetric unit holds Ba at (0.0000, 0.0000, 0.2493), Ag at (0.0000, 0.3388, 0.5000) and Sb at (0.0000, 0.3271, 0.0000).

=====

[2]
The following is a PBE-GGA calculation of a relaxed structure of BaAgSb3, from the Alexandria database.

For the energy relative to the elements, uncorrected, the calculation gives -169 kJ/mol of formula units. The magnetic moment is 0.00 μB per formula unit. The calculation puts the density of states at the Fermi level at 0.4126 states/eV/atom. The energy above the most stable polymorph in this dataset is 0.000 eV per atom.

The structure belongs to space group P2_1 (No. 4); the cell edges are 6.7091, 6.5631 and 7.3676 Å and the angles 90.00°, 90.04° and 90.00°. The asymmetric unit holds Ba at (0.2497, 0.0000, 0.2275), Ag at (0.2501, 0.3717, 0.5993), Sb at (0.0144, 0.0080, 0.6883), Sb at (0.2504, 0.6803, 0.8643) and Sb at (0.4858, 0.0079, 0.6883).

=====

[3]
The following is a PBE-GGA calculation of a relaxed structure of BaAgSb2, from the Alexandria database.

For the energy relative to the elements, uncorrected, the calculation gives -153 kJ/mol of formula units. The magnetic moment is 0.00 μB per formula unit. The calculation puts the density of states at the Fermi level at 0.4369 states/eV/atom.

The structure belongs to space group Pm (No. 6); the cell edges are 5.1063, 5.3158 and 5.2316 Å and the angles 90.00°, 92.04° and 90.00°. The asymmetric unit holds Ba at (0.0000, 0.0000, 0.0000), Ag at (0.3738, 0.5000, 0.6793), Sb at (0.5061, 0.0000, 0.4791) and Sb at (0.5359, 0.5000, 0.1777).

=====

[4]
The following is a PBE-GGA calculation of a relaxed structure of BaAg2Sb, from the Alexandria database.

For the energy relative to the elements, uncorrected, the calculation gives -108 kJ/mol of formula units. The magnetic moment is 0.00 μB per formula unit. The calculation puts the density of states at the Fermi level at 0.3757 states/eV/atom.

The structure belongs to space group I-42d (No. 122); the cell edges are 5.3249, 5.3249 and 19.4575 Å and the angles 90.00°, 90.00° and 90.00°. The asymmetric unit holds Ba at (0.0000, 0.0000, 0.0000), Ag at (0.0486, 0.2500, 0.6250) and Sb at (0.0000, 0.0000, 0.5000).

=====

[5]
The following is a PBE-GGA calculation of a relaxed structure of BaAgSb3, from the Alexandria database.

For the energy relative to the elements, uncorrected, the calculation gives 528 kJ/mol of formula units. The magnetic moment is 0.00 μB per formula unit. The calculation puts the density of states at the Fermi level at 0.7425 states/eV/atom. The energy above the most stable polymorph in this dataset is 1.446 eV per atom.

The structure belongs to space group Pm-3m (No. 221); the cell edges are 6.2787, 6.2787 and 6.2787 Å and the angles 90.00°, 90.00° and 90.00°. The asymmetric unit holds Ba at (0.0000, 0.0000, 0.0000), Ag at (0.5000, 0.5000, 0.5000) and Sb at (0.0000, 0.0000, 0.5000).

=====

[6]
The following is a PBE-GGA calculation of a relaxed structure of BaAg2Sb, from the Alexandria database.

For the energy relative to the elements, uncorrected, the calculation gives -55 kJ/mol of formula units. The magnetic moment is 0.00 μB per formula unit. The calculation puts the density of states at the Fermi level at 0.3845 states/eV/atom.

The structure belongs to space group Pmmm (No. 47); the cell edges are 4.6339, 4.9209 and 4.9353 Å and the angles 90.00°, 90.00° and 90.00°. The asymmetric unit holds Ba at (0.0000, 0.0000, 0.0000), Ag at (0.5000, 0.0000, 0.5000), Ag at (0.5000, 0.5000, 0.0000) and Sb at (0.0000, 0.5000, 0.5000).

=====

[7]
The following is a PBE-GGA calculation of a relaxed structure of Ba2AgSb2, from the Alexandria database.

For the energy relative to the elements, uncorrected, the calculation gives -159 kJ/mol of formula units. The magnetic moment is 0.00 μB per formula unit. The calculation puts the density of states at the Fermi level at 0.2112 states/eV/atom. The energy above the most stable polymorph in this dataset is 0.315 eV per atom.

The structure belongs to space group P4/mbm (No. 127); the cell edges are 10.1078, 10.1078 and 3.7486 Å and the angles 90.00°, 90.00° and 90.00°. The asymmetric unit holds Ba at (0.1368, 0.3632, 0.0000), Ag at (0.0000, 0.0000, 0.0000) and Sb at (0.1637, 0.6637, 0.5000).

=====

[8]
The following is a PBE-GGA calculation of a relaxed structure of BaAgSb, from the Alexandria database.

For the energy relative to the elements, uncorrected, the calculation gives -223 kJ/mol of formula units. The magnetic moment is 0.00 μB per formula unit. The calculation puts the density of states at the Fermi level at 0.0829 states/eV/atom.

The structure belongs to space group P-6m2 (No. 187); the cell edges are 4.8850, 4.8850 and 14.1754 Å and the angles 90.00°, 90.00° and 120.00°. The asymmetric unit holds Ba at (0.0000, 0.0000, 0.0000), Ba at (0.0000, 0.0000, 0.3344), Ag at (0.3333, 0.6667, 0.1676), Ag at (0.6667, 0.3333, 0.5000), Sb at (0.3333, 0.6667, 0.5000) and Sb at (0.6667, 0.3333, 0.1691).

=====

[9]
The following is a PBE-GGA calculation of a relaxed structure of BaAg2Sb, from the Alexandria database.

For the energy relative to the elements, uncorrected, the calculation gives 4 kJ/mol of formula units. The magnetic moment is 0.00 μB per formula unit. The calculation puts the density of states at the Fermi level at 0.4634 states/eV/atom.

The structure belongs to space group C2/m (No. 12); the cell edges are 6.8102, 10.5704 and 3.6721 Å and the angles 90.00°, 119.20° and 90.00°. The asymmetric unit holds Ba at (0.0000, 0.0000, 0.0000), Ag at (0.2500, 0.2500, 0.5000) and Sb at (0.0000, 0.5000, 0.0000).

=====

[10]
The following is a PBE-GGA calculation of a relaxed structure of BaAgSb, from the Alexandria database.

For the energy relative to the elements, uncorrected, the calculation gives -179 kJ/mol of formula units. The magnetic moment is 0.00 μB per formula unit. The calculation puts the density of states at the Fermi level at 0.0467 states/eV/atom.

The structure belongs to space group P-1 (No. 2); the cell edges are 4.7276, 6.4821 and 6.9978 Å and the angles 99.05°, 109.70° and 90.19°. The asymmetric unit holds Ba at (0.1013, 0.3067, 0.2068), Ag at (0.2186, 0.8784, 0.4368) and Sb at (0.3845, 0.2581, 0.7692).

=====

[11]
The following is a PBE-GGA calculation of a relaxed structure of BaAgSb2, from the Alexandria database.

For the energy relative to the elements, uncorrected, the calculation gives -65 kJ/mol of formula units. The magnetic moment is 0.00 μB per formula unit. The calculation puts the density of states at the Fermi level at 0.7263 states/eV/atom.

The structure belongs to space group Fm-3m (No. 225); the cell edges are 7.8514, 7.8514 and 7.8514 Å and the angles 90.00°, 90.00° and 90.00°. The asymmetric unit holds Ba at (0.0000, 0.0000, 0.0000), Ag at (0.0000, 0.0000, 0.5000) and Sb at (0.2500, 0.2500, 0.2500).

=====

[12]
The following is a PBE-GGA calculation of a relaxed structure of BaAg2Sb, from the Alexandria database.

For the energy relative to the elements, uncorrected, the calculation gives -130 kJ/mol of formula units. The magnetic moment is 0.00 μB per formula unit. The calculation puts the density of states at the Fermi level at 0.4817 states/eV/atom.

The structure belongs to space group C2/m (No. 12); the cell edges are 8.5751, 4.9514 and 6.1725 Å and the angles 90.00°, 117.50° and 90.00°. The asymmetric unit holds Ba at (0.0000, 0.0000, 0.0000), Ag at (0.2079, 0.0000, 0.6230) and Sb at (0.0000, 0.5000, 0.5000).

=====

Copy entry 6 word for word.
The following is a PBE-GGA calculation of a relaxed structure of BaAg2Sb, from the Alexandria database.

For the energy relative to the elements, uncorrected, the calculation gives -55 kJ/mol of formula units. The magnetic moment is 0.00 μB per formula unit. The calculation puts the density of states at the Fermi level at 0.3845 states/eV/atom.

The structure belongs to space group Pmmm (No. 47); the cell edges are 4.6339, 4.9209 and 4.9353 Å and the angles 90.00°, 90.00° and 90.00°. The asymmetric unit holds Ba at (0.0000, 0.0000, 0.0000), Ag at (0.5000, 0.0000, 0.5000), Ag at (0.5000, 0.5000, 0.0000) and Sb at (0.0000, 0.5000, 0.5000).

=====

- Which value of magnetic moment does entry 4 give?
  0.00 μB per formula unit